# PBE PuSn2Rh, optimized geometry
data_PuSn2Rh
_chemical_formula_sum 'Pu3 Sn6 Rh3'
_cell_length_a 3.2418
_cell_length_b 3.2418
_cell_length_c 31.2530
_cell_angle_alpha 90.00
_cell_angle_beta 90.00
_cell_angle_gamma 120.00
_symmetry_space_group_name_H-M 'R -3 m'
_symmetry_Int_Tables_number 166
_symmetry_space_group_name_Hall '-R 3 2"'
loop_
_atom_site_label
_atom_site_type_symbol
_atom_site_fract_x
_atom_site_fract_y
_atom_site_fract_z
_atom_site_occupancy
Pu1 Pu 0.0000 0.0000 0.0000 1
Sn1 Sn 0.0000 0.0000 0.1021 1
Rh1 Rh 0.0000 0.0000 0.5000 1
# - Formation energy: -0.01 eV per atom